## TeW3Br (GGA-PBEsol)

Data for an optimized crystal structure of TeW3Br.

```
TeW3Br
1.0
4.903 0.000 0.000
0.000 4.903 0.000
0.000 0.000 4.903
W Br Te
3 1 1
Cartesian
2.452 0.000 0.000
0.000 0.000 2.452
0.000 2.452 0.000
2.452 2.452 2.452
0.000 0.000 0.000
```

Output
Offset from the most stable computed form   663 meV/atom
Formation energy without anion corrections   2892 meV per atom
DOS at the Fermi energy   7.56 states/eV/cell
Total moment   0.0002 μB per atom



## BaNaP2O (GGA-PBEsol)

Data for an optimized crystal structure of BaNaP2O.

```
BaNaP2O
1.0
4.531 0.000 0.000
0.000 4.932 0.000
0.000 0.000 4.932
O Na P Ba
1 1 2 1
Cartesian
2.265 0.000 0.000
0.000 0.000 0.000
0.000 0.000 2.466
0.000 2.466 0.000
2.265 2.466 2.466
```

Output
Formation energy without anion corrections   174 meV per atom
DOS at the Fermi energy   4.14 states/eV/cell
Total moment   0.3580 μB per atom



## PWS2Cl (GGA-PBEsol)

Data for an optimized crystal structure of PWS2Cl.

```
PWS2Cl
1.0
-1.396 1.409 4.003
0.668 -3.942 1.621
4.044 1.105 1.021
P Cl W S
1 1 1 2
Cartesian
-0.698 0.705 2.001
0.000 0.000 0.000
1.658 -0.714 3.322
0.334 -1.971 0.810
2.022 0.552 0.511
```

Output
Formation energy without anion corrections   1650 meV per atom
DOS at the Fermi energy   3.63 states/eV/cell
Total moment   0.2832 μB per atom



## CsRb2Br2 (GGA-PBEsol)

Data for an optimized crystal structure of CsRb2Br2.

```
CsRb2Br2
1.0
-4.492 -4.158 -1.253
2.412 -0.889 -5.694
5.180 -2.725 6.047
Cs Br Rb
1 2 2
Cartesian
0.000 0.000 0.000
-0.176 -4.703 0.660
3.276 -3.069 -1.561
2.702 -3.426 1.680
0.398 -4.346 -2.580
```

Output
Formation energy without anion corrections   -1245 meV per atom
DOS at the Fermi energy   1.62 states/eV/cell
Total moment   0.0000 μB per atom